VASP calculation (GGA+U) on a geometry-optimized CoSnGe2F structure.

Summary:
- VASP energy: -16.268 eV/cell
- Calculated density: 4.073 g cm⁻³

abc: 5.3384 5.3384 4.8916
angles: 90.00 90.00 90.00
Fractional coordinates of all 5 atoms:
Co1 0.0000 0.0000 0.0000
Sn1 0.0000 0.0000 0.5000
Ge1 0.0000 0.5000 0.5000
Ge2 0.5000 0.0000 0.5000
F1 0.5000 0.5000 0.0000